[1]
SiSb5 after structural relaxation, computed with PBE.

**M_tot**: 0.0 μB/f.u.
**Uncorrected formation energy**: 0.385 eV/atom

Lattice parameters (Å, degrees): 5.748 5.748 5.435 90.00 90.00 120.00
Element x y z (fractional)
Si (0.000, 0.000, 0.000)
Sb (0.000, 0.697, 0.500)
Sb (0.303, 0.303, 0.500)
Sb (0.333, 0.667, 0.000)
Sb (0.667, 0.333, 0.000)
Sb (0.697, 0.000, 0.500)



[2]
Si2Sb after structural relaxation, computed with PBE.

**M_tot**: 0.0 μB/f.u.
**Uncorrected formation energy**: 0.324 eV/atom

Lattice parameters (Å, degrees): 11.575 3.765 6.787 90.00 121.76 90.00
Element x y z (fractional)
Si (0.117, 0.000, 0.315)
Si (0.238, 0.500, 0.261)
Si (0.262, 0.000, 0.739)
Si (0.383, 0.500, 0.685)
Si (0.617, 0.500, 0.315)
Si (0.738, 0.000, 0.261)
Si (0.762, 0.500, 0.739)
Si (0.883, 0.000, 0.685)
Sb (0.085, 0.500, 0.782)
Sb (0.415, 0.000, 0.218)
Sb (0.585, 0.000, 0.782)
Sb (0.915, 0.500, 0.218)



[3]
Si4Sb5 after structural relaxation, computed with PBE.

**M_tot**: 0.0 μB/f.u.
**Uncorrected formation energy**: 0.478 eV/atom

Lattice parameters (Å, degrees): 7.799 7.799 7.799 92.95 92.95 153.77
Element x y z (fractional)
Si (0.000, 0.370, 0.370)
Si (0.000, 0.630, 0.630)
Si (0.370, 0.000, 0.370)
Si (0.630, 0.000, 0.630)
Sb (0.000, 0.000, 0.000)
Sb (0.334, 0.334, 0.667)
Sb (0.334, 0.666, 0.000)
Sb (0.666, 0.334, 0.000)
Sb (0.666, 0.666, 0.333)



[4]
SiSb3 after structural relaxation, computed with PBE.

**M_tot**: 0.0 μB/f.u.
**Uncorrected formation energy**: 0.319 eV/atom

Lattice parameters (Å, degrees): 3.689 4.848 11.402 90.00 90.00 90.00
Element x y z (fractional)
Si (0.000, 0.000, 0.000)
Si (0.500, 0.500, 0.500)
Sb (0.000, 0.000, 0.500)
Sb (0.000, 0.500, 0.312)
Sb (0.000, 0.500, 0.688)
Sb (0.500, 0.000, 0.188)
Sb (0.500, 0.000, 0.812)
Sb (0.500, 0.500, 0.000)



[5]
SiSb4 after structural relaxation, computed with PBE.

**M_tot**: 0.0 μB/f.u.
**Uncorrected formation energy**: 0.350 eV/atom

Lattice parameters (Å, degrees): 6.605 6.605 6.605 90.00 90.00 90.00
Element x y z (fractional)
Si (0.000, 0.000, 0.000)
Si (0.500, 0.500, 0.500)
Sb (0.250, 0.250, 0.250)
Sb (0.250, 0.250, 0.750)
Sb (0.250, 0.750, 0.250)
Sb (0.250, 0.750, 0.750)
Sb (0.750, 0.250, 0.250)
Sb (0.750, 0.250, 0.750)
Sb (0.750, 0.750, 0.250)
Sb (0.750, 0.750, 0.750)



[6]
Si2Sb after structural relaxation, computed with PBE.

**M_tot**: 0.0 μB/f.u.
**Uncorrected formation energy**: 0.411 eV/atom

Lattice parameters (Å, degrees): 3.496 3.496 5.112 90.00 90.00 90.00
Element x y z (fractional)
Si (0.000, 0.500, 0.000)
Si (0.500, 0.000, 0.000)
Sb (0.000, 0.000, 0.500)



[7]
Si5Sb3 after structural relaxation, computed with PBE.

**M_tot**: 0.0 μB/f.u.
**Uncorrected formation energy**: 0.569 eV/atom

Lattice parameters (Å, degrees): 6.336 9.987 5.069 90.00 90.00 90.00
Element x y z (fractional)
Si (0.000, 0.000, 0.000)
Si (0.194, 0.000, 0.500)
Si (0.250, 0.250, 0.000)
Si (0.250, 0.750, 0.000)
Si (0.306, 0.500, 0.500)
Si (0.500, 0.500, 0.000)
Si (0.694, 0.500, 0.500)
Si (0.750, 0.250, 0.000)
Si (0.750, 0.750, 0.000)
Si (0.806, 0.000, 0.500)
Sb (0.000, 0.275, 0.500)
Sb (0.000, 0.500, 0.000)
Sb (0.000, 0.725, 0.500)
Sb (0.500, 0.000, 0.000)
Sb (0.500, 0.225, 0.500)
Sb (0.500, 0.775, 0.500)



[8]
SiSb3 after structural relaxation, computed with PBE.

**M_tot**: 0.0 μB/f.u.
**Uncorrected formation energy**: 0.445 eV/atom

Lattice parameters (Å, degrees): 5.176 5.176 3.661 90.00 90.00 90.00
Element x y z (fractional)
Si (0.000, 0.000, 0.000)
Sb (0.000, 0.500, 0.500)
Sb (0.500, 0.000, 0.500)
Sb (0.500, 0.500, 0.000)



[9]
Si3Sb2 after structural relaxation, computed with PBE.

**M_tot**: 0.0 μB/f.u.
**Uncorrected formation energy**: 0.278 eV/atom

Lattice parameters (Å, degrees): 3.858 3.858 24.981 90.00 90.00 120.00
Element x y z (fractional)
Si (0.000, 0.000, 0.000)
Si (0.000, 0.000, 0.186)
Si (0.000, 0.000, 0.814)
Si (0.333, 0.667, 0.481)
Si (0.333, 0.667, 0.667)
Si (0.333, 0.667, 0.853)
Si (0.667, 0.333, 0.147)
Si (0.667, 0.333, 0.333)
Si (0.667, 0.333, 0.519)
Sb (0.000, 0.000, 0.399)
Sb (0.000, 0.000, 0.601)
Sb (0.333, 0.667, 0.066)
Sb (0.333, 0.667, 0.268)
Sb (0.667, 0.333, 0.732)
Sb (0.667, 0.333, 0.934)



[10]
SiSb3 after structural relaxation, computed with PBE.

**M_tot**: 0.0 μB/f.u.
**Uncorrected formation energy**: 0.202 eV/atom

Lattice parameters (Å, degrees): 5.113 4.151 5.231 90.00 109.34 90.00
Element x y z (fractional)
Si (0.000, 0.000, 0.000)
Sb (0.228, 0.500, 0.772)
Sb (0.500, 0.000, 0.500)
Sb (0.772, 0.500, 0.228)



[11]
Si3Sb2 after structural relaxation, computed with PBE.

**M_tot**: 0.0 μB/f.u.
**Uncorrected formation energy**: 0.528 eV/atom

Lattice parameters (Å, degrees): 4.790 4.790 5.718 90.00 90.00 120.00
Element x y z (fractional)
Si (0.000, 0.000, 0.000)
Si (0.333, 0.667, 0.213)
Si (0.667, 0.333, 0.787)
Sb (0.333, 0.667, 0.731)
Sb (0.667, 0.333, 0.269)



[12]
Si2Sb after structural relaxation, computed with PBE.

**M_tot**: 0.0 μB/f.u.
**Uncorrected formation energy**: 0.329 eV/atom

Lattice parameters (Å, degrees): 3.812 11.614 5.525 90.00 90.00 90.00
Element x y z (fractional)
Si (0.000, 0.008, 0.250)
Si (0.000, 0.359, 0.750)
Si (0.000, 0.641, 0.250)
Si (0.000, 0.992, 0.750)
Si (0.500, 0.141, 0.250)
Si (0.500, 0.492, 0.750)
Si (0.500, 0.508, 0.250)
Si (0.500, 0.859, 0.750)
Sb (0.000, 0.326, 0.250)
Sb (0.000, 0.674, 0.750)
Sb (0.500, 0.174, 0.750)
Sb (0.500, 0.826, 0.250)



[13]
Si23Sb after structural relaxation, computed with PBE.

**M_tot**: 0.0 μB/f.u.
**Uncorrected formation energy**: 0.119 eV/atom

Lattice parameters (Å, degrees): 10.235 10.235 10.235 90.00 90.00 90.00
Element x y z (fractional)
Si (0.000, 0.117, 0.309)
Si (0.000, 0.117, 0.691)
Si (0.000, 0.250, 0.500)
Si (0.000, 0.750, 0.500)
Si (0.000, 0.883, 0.309)
Si (0.000, 0.883, 0.691)
Si (0.117, 0.309, 0.000)
Si (0.117, 0.691, 0.000)
Si (0.183, 0.183, 0.183)
Si (0.183, 0.183, 0.817)
Si (0.183, 0.817, 0.183)
Si (0.183, 0.817, 0.817)
Si (0.191, 0.383, 0.500)
Si (0.191, 0.617, 0.500)
Si (0.250, 0.500, 0.000)
Si (0.309, 0.000, 0.117)
Si (0.309, 0.000, 0.883)
Si (0.317, 0.317, 0.317)
Si (0.317, 0.317, 0.683)
Si (0.317, 0.683, 0.317)
Si (0.317, 0.683, 0.683)
Si (0.383, 0.500, 0.191)
Si (0.383, 0.500, 0.809)
Si (0.500, 0.000, 0.250)
Si (0.500, 0.000, 0.750)
Si (0.500, 0.191, 0.383)
Si (0.500, 0.191, 0.617)
Si (0.500, 0.809, 0.383)
Si (0.500, 0.809, 0.617)
Si (0.617, 0.500, 0.191)
Si (0.617, 0.500, 0.809)
Si (0.683, 0.317, 0.317)
Si (0.683, 0.317, 0.683)
Si (0.683, 0.683, 0.317)
Si (0.683, 0.683, 0.683)
Si (0.691, 0.000, 0.117)
Si (0.691, 0.000, 0.883)
Si (0.750, 0.500, 0.000)
Si (0.809, 0.383, 0.500)
Si (0.809, 0.617, 0.500)
Si (0.817, 0.183, 0.183)
Si (0.817, 0.183, 0.817)
Si (0.817, 0.817, 0.183)
Si (0.817, 0.817, 0.817)
Si (0.883, 0.309, 0.000)
Si (0.883, 0.691, 0.000)
Sb (0.000, 0.000, 0.000)
Sb (0.500, 0.500, 0.500)



[14]
SiSb5 after structural relaxation, computed with PBE.

**M_tot**: 0.0 μB/f.u.
**Uncorrected formation energy**: 0.664 eV/atom

Lattice parameters (Å, degrees): 6.194 6.194 6.194 60.00 60.00 60.00
Element x y z (fractional)
Si (0.000, 0.000, 0.000)
Sb (0.374, 0.374, 0.374)
Sb (0.374, 0.374, 0.877)
Sb (0.374, 0.877, 0.374)
Sb (0.750, 0.750, 0.750)
Sb (0.877, 0.374, 0.374)



[15]
Si2Sb after structural relaxation, computed with PBE.

**M_tot**: 0.0 μB/f.u.
**Uncorrected formation energy**: 0.528 eV/atom

Lattice parameters (Å, degrees): 6.553 6.553 6.553 90.00 90.00 90.00
Element x y z (fractional)
Si (0.103, 0.103, 0.103)
Si (0.103, 0.397, 0.603)
Si (0.397, 0.603, 0.103)
Si (0.397, 0.897, 0.603)
Si (0.603, 0.103, 0.397)
Si (0.603, 0.397, 0.897)
Si (0.897, 0.603, 0.397)
Si (0.897, 0.897, 0.897)
Sb (0.000, 0.000, 0.500)
Sb (0.000, 0.500, 0.000)
Sb (0.500, 0.000, 0.000)
Sb (0.500, 0.500, 0.500)



[16]
Si3Sb4 after structural relaxation, computed with PBE.

**M_tot**: 0.0 μB/f.u.
**Uncorrected formation energy**: 0.382 eV/atom

Lattice parameters (Å, degrees): 3.805 3.805 24.353 90.00 90.00 90.00
Element x y z (fractional)
Si (0.000, 0.000, 0.000)
Si (0.000, 0.000, 0.289)
Si (0.000, 0.000, 0.711)
Si (0.500, 0.500, 0.211)
Si (0.500, 0.500, 0.500)
Si (0.500, 0.500, 0.789)
Sb (0.000, 0.000, 0.178)
Sb (0.000, 0.000, 0.442)
Sb (0.000, 0.000, 0.558)
Sb (0.000, 0.000, 0.822)
Sb (0.500, 0.500, 0.058)
Sb (0.500, 0.500, 0.322)
Sb (0.500, 0.500, 0.678)
Sb (0.500, 0.500, 0.942)



[17]
Si3Sb4 after structural relaxation, computed with PBE.

**M_tot**: 0.0 μB/f.u.
**Uncorrected formation energy**: 0.511 eV/atom

Lattice parameters (Å, degrees): 5.267 5.267 6.608 90.00 90.00 120.00
Element x y z (fractional)
Si (0.000, 0.500, 0.000)
Si (0.500, 0.000, 0.000)
Si (0.500, 0.500, 0.000)
Sb (0.000, 0.000, 0.255)
Sb (0.000, 0.000, 0.745)
Sb (0.333, 0.667, 0.500)
Sb (0.667, 0.333, 0.500)



[18]
SiSb5 after structural relaxation, computed with PBE.

**M_tot**: 0.4 μB/f.u.
**Uncorrected formation energy**: 0.653 eV/atom

Lattice parameters (Å, degrees): 6.045 6.045 5.597 90.00 90.00 120.00
Element x y z (fractional)
Si (0.000, 0.000, 0.000)
Sb (0.000, 0.500, 0.500)
Sb (0.333, 0.667, 0.000)
Sb (0.500, 0.000, 0.500)
Sb (0.500, 0.500, 0.500)
Sb (0.667, 0.333, 0.000)



[19]
Si2Sb after structural relaxation, computed with PBE.

**M_tot**: 0.0 μB/f.u.
**Uncorrected formation energy**: 0.312 eV/atom

Lattice parameters (Å, degrees): 3.690 3.690 10.321 90.00 90.00 120.00
Element x y z (fractional)
Si (0.333, 0.667, 0.057)
Si (0.333, 0.667, 0.443)
Si (0.667, 0.333, 0.557)
Si (0.667, 0.333, 0.943)
Sb (0.000, 0.000, 0.250)
Sb (0.000, 0.000, 0.750)



[20]
SiSb3 after structural relaxation, computed with PBE.

**M_tot**: 0.0 μB/f.u.
**Uncorrected formation energy**: 0.176 eV/atom

Lattice parameters (Å, degrees): 4.142 4.142 21.008 90.00 90.00 120.00
Element x y z (fractional)
Si (0.000, 0.000, 0.000)
Si (0.333, 0.667, 0.667)
Si (0.667, 0.333, 0.333)
Sb (0.000, 0.000, 0.260)
Sb (0.000, 0.000, 0.500)
Sb (0.000, 0.000, 0.740)
Sb (0.333, 0.667, 0.167)
Sb (0.333, 0.667, 0.406)
Sb (0.333, 0.667, 0.927)
Sb (0.667, 0.333, 0.073)
Sb (0.667, 0.333, 0.594)
Sb (0.667, 0.333, 0.833)